Compound: PmDyBi2
Source: Alexandria
Functional: PBE-GGA
Structure: relaxed

```
data_PmDyBi2
_space_group_name_H-M_alt 'P 1'
_space_group_IT_number 1
_cell_length_a 3.8273
_cell_length_b 3.8273
_cell_length_c 8.2247
_cell_angle_alpha 90.00
_cell_angle_beta 90.00
_cell_angle_gamma 90.00
loop_
_space_group_symop_operation_xyz
'x,y,z'
loop_
_atom_site_label
_atom_site_fract_x
_atom_site_fract_y
_atom_site_fract_z
Bi1 0.0000 0.0000 0.7429
Bi2 0.0000 0.0000 0.2571
Dy1 0.5000 0.5000 0.5000
Pm1 0.5000 0.5000 0.0000
```

## Properties
The calculation puts the density at 10.00 g/cm³. Its relative energy among the computed polymorphs is 0.265 eV per atom. The magnetization is 0.0 μB/cell.

Compound: BaI2BrO
Source: Alexandria
Functional: PBE-GGA
Structure: relaxed

```
data_BaI2BrO
_space_group_name_H-M_alt 'P 1'
_space_group_IT_number 1
_cell_length_a 7.0477
_cell_length_b 7.0477
_cell_length_c 4.5201
_cell_angle_alpha 90.00
_cell_angle_beta 90.00
_cell_angle_gamma 90.00
loop_
_space_group_symop_operation_xyz
'x,y,z'
loop_
_atom_site_label
_atom_site_fract_x
_atom_site_fract_y
_atom_site_fract_z
O1 0.0000 0.0000 0.5000
I1 0.0000 0.5000 0.0000
I2 0.5000 0.0000 0.0000
Br1 0.5000 0.5000 0.5000
Ba1 0.0000 0.0000 0.0000
```

## Properties
As for the raw formation energy: -0.447 eV per atom. The calculation puts the density at 3.60 g/cm³. Its relative energy among the computed polymorphs is 0.043 eV per atom. The magnetization is 2.3 μB/cell.